Record 1
# Hg4I2OF, relaxed, DFT GGA-PBE
# Calculated total energy, Ry/atom: -0.12940
# V, Å³/f.u.: 257.3
# Energy relative to the elements, uncorrected, eV/atom: -0.368
# Density of states at the Fermi level, states/eV/atom: 0.08
data_Hg4I2OF
_cell_length_a 8.5063
_cell_length_b 6.7105
_cell_length_c 9.0135
_cell_angle_alpha 90.00
_cell_angle_beta 90.00
_cell_angle_gamma 90.00
_space_group_name_H-M_alt 'P m n 21'
_space_group_IT_number 31
loop_
_space_group_symop_operation_xyz
'x,y,z'
'-x+1/2,-y,z+1/2'
'-x,y,z'
'x+1/2,-y,z+1/2'
loop_
_atom_site_label
_atom_site_fract_x
_atom_site_fract_y
_atom_site_fract_z
Hg1 0.0000 0.0377 0.0000
Hg2 0.0000 0.2542 0.3836
Hg3 0.2463 0.1355 0.8079
I1 0.2137 0.5883 0.8064
O1 0.0000 0.9477 0.2380
F1 0.0000 0.1325 0.6153

***

Record 2
# Rb2HgI2F2, relaxed, DFT GGA-PBE
# Calculated total energy, Ry/atom: -0.21268
# V, Å³/f.u.: 225.5
# Energy relative to the elements, uncorrected, eV/atom: -1.597
# Density of states at the Fermi level, states/eV/atom: 0.00
data_Rb2HgI2F2
_cell_length_a 5.0636
_cell_length_b 5.0636
_cell_length_c 17.5870
_cell_angle_alpha 90.00
_cell_angle_beta 90.00
_cell_angle_gamma 90.00
_space_group_name_H-M_alt 'I 4/m m m'
_space_group_IT_number 139
_space_group_name_Hall '-I 4 2'
loop_
_atom_site_label
_atom_site_fract_x
_atom_site_fract_y
_atom_site_fract_z
Rb1 0.0000 0.0000 0.1011
Hg1 0.0000 0.0000 0.5000
I1 0.0000 0.0000 0.3407
F1 0.0000 0.5000 0.0000

***

Record 3
# Rb2HgIF6, relaxed, DFT GGA-PBE
# Calculated total energy, Ry/atom: -0.24022
# V, Å³/f.u.: 232.5
# Energy relative to the elements, uncorrected, eV/atom: -1.767
# Density of states at the Fermi level, states/eV/atom: 0.52
data_Rb2HgIF6
_cell_length_a 6.5476
_cell_length_b 6.5476
_cell_length_c 10.8464
_cell_angle_alpha 90.00
_cell_angle_beta 90.00
_cell_angle_gamma 90.00
_space_group_name_H-M_alt 'I 4/m m m'
_space_group_IT_number 139
_space_group_name_Hall '-I 4 2'
loop_
_atom_site_label
_atom_site_fract_x
_atom_site_fract_y
_atom_site_fract_z
Rb1 0.0000 0.5000 0.2500
Hg1 0.0000 0.0000 0.0000
I1 0.0000 0.0000 0.5000
F1 0.0000 0.0000 0.2101
F2 0.2309 0.2309 0.5000

***

Record 4
# Hg2SIF, relaxed, DFT GGA-PBE
# Calculated total energy, Ry/atom: -0.16180
# V, Å³/f.u.: 147.3
# Energy relative to the elements, uncorrected, eV/atom: -0.571
data_Hg2SIF
_cell_length_a 13.8966
_cell_length_b 4.3312
_cell_length_c 10.4041
_cell_angle_alpha 90.00
_cell_angle_beta 109.83
_cell_angle_gamma 90.00
_space_group_name_H-M_alt 'C 1 2/m 1'
_space_group_IT_number 12
loop_
_space_group_symop_operation_xyz
'x,y,z'
'-x,-y,-z'
'-x,y,-z'
'x,-y,z'
'x+1/2,y+1/2,z'
'-x+1/2,-y+1/2,-z'
'-x+1/2,y+1/2,-z'
'x+1/2,-y+1/2,z'
loop_
_atom_site_label
_atom_site_fract_x
_atom_site_fract_y
_atom_site_fract_z
Hg1 0.0593 0.0000 0.3432
Hg2 0.1400 0.5000 0.8917
S1 0.0402 0.5000 0.2037
I1 0.1668 0.0000 0.6253
F1 0.1977 0.0000 0.0362

***

Record 5
# HgSbI2F, relaxed, DFT GGA-PBE
# Calculated total energy, Ry/atom: -0.15745
# V, Å³/f.u.: 159.3
# Energy relative to the elements, uncorrected, eV/atom: -0.263
# Density of states at the Fermi level, states/eV/atom: 0.71
data_HgSbI2F
_cell_length_a 6.1407
_cell_length_b 6.1407
_cell_length_c 4.2250
_cell_angle_alpha 90.00
_cell_angle_beta 90.00
_cell_angle_gamma 90.00
_space_group_name_H-M_alt 'P 4/m m m'
_space_group_IT_number 123
_space_group_name_Hall '-P 4 2'
loop_
_atom_site_label
_atom_site_fract_x
_atom_site_fract_y
_atom_site_fract_z
Hg1 0.0000 0.0000 0.0000
Sb1 0.5000 0.5000 0.0000
I1 0.0000 0.5000 0.5000
F1 0.5000 0.5000 0.5000

***

Record 6
# HgSbI2F, relaxed, DFT GGA-PBE
# Calculated total energy, Ry/atom: -0.18555
# V, Å³/f.u.: 165.2
# Energy relative to the elements, uncorrected, eV/atom: -0.645
# Density of states at the Fermi level, states/eV/atom: 0.20
data_HgSbI2F
_cell_length_a 6.0920
_cell_length_b 6.0920
_cell_length_c 4.4523
_cell_angle_alpha 90.00
_cell_angle_beta 90.00
_cell_angle_gamma 90.00
_space_group_name_H-M_alt 'P 4/m m m'
_space_group_IT_number 123
_space_group_name_Hall '-P 4 2'
loop_
_atom_site_label
_atom_site_fract_x
_atom_site_fract_y
_atom_site_fract_z
Hg1 0.0000 0.0000 0.0000
Sb1 0.5000 0.5000 0.5000
I1 0.0000 0.5000 0.5000
F1 0.5000 0.5000 0.0000

***

Record 7
# Hg2SbIF, relaxed, DFT GGA-PBE
# Calculated total energy, Ry/atom: -0.16711
# V, Å³/f.u.: 144.5
# Energy relative to the elements, uncorrected, eV/atom: -0.644
# Density of states at the Fermi level, states/eV/atom: 0.30
data_Hg2SbIF
_cell_length_a 5.7321
_cell_length_b 5.7321
_cell_length_c 4.3966
_cell_angle_alpha 90.00
_cell_angle_beta 90.00
_cell_angle_gamma 90.00
_space_group_name_H-M_alt 'P 4/m m m'
_space_group_IT_number 123
_space_group_name_Hall '-P 4 2'
loop_
_atom_site_label
_atom_site_fract_x
_atom_site_fract_y
_atom_site_fract_z
Hg1 0.0000 0.5000 0.0000
Sb1 0.0000 0.0000 0.0000
I1 0.5000 0.5000 0.5000
F1 0.0000 0.0000 0.5000

***

Record 8
# Hg4SeI2F, relaxed, DFT GGA-PBE
# Calculated total energy, Ry/atom: -0.11666
# V, Å³/f.u.: 292.8
# Energy relative to the elements, uncorrected, eV/atom: -0.379
# Density of states at the Fermi level, states/eV/atom: 0.26
data_Hg4SeI2F
_cell_length_a 9.0144
_cell_length_b 7.0771
_cell_length_c 9.1790
_cell_angle_alpha 90.00
_cell_angle_beta 90.00
_cell_angle_gamma 90.00
_space_group_name_H-M_alt 'P m n 21'
_space_group_IT_number 31
loop_
_space_group_symop_operation_xyz
'x,y,z'
'-x+1/2,-y,z+1/2'
'-x,y,z'
'x+1/2,-y,z+1/2'
loop_
_atom_site_label
_atom_site_fract_x
_atom_site_fract_y
_atom_site_fract_z
Hg1 0.0000 0.0113 0.0000
Hg2 0.0000 0.2210 0.3743
Hg3 0.2008 0.2043 0.8172
Se1 0.0000 0.8660 0.2662
I1 0.2136 0.6378 0.8260
F1 0.0000 0.2176 0.6266

***

Record 9
# SnHgIF2, relaxed, DFT GGA-PBE
# Calculated total energy, Ry/atom: -0.23482
# V, Å³/f.u.: 141.1
# Energy relative to the elements, uncorrected, eV/atom: -1.275
# Density of states at the Fermi level, states/eV/atom: 0.34
data_SnHgIF2
_cell_length_a 4.5454
_cell_length_b 4.5454
_cell_length_c 6.8292
_cell_angle_alpha 90.00
_cell_angle_beta 90.00
_cell_angle_gamma 90.00
_space_group_name_H-M_alt 'P 4/m m m'
_space_group_IT_number 123
_space_group_name_Hall '-P 4 2'
loop_
_atom_site_label
_atom_site_fract_x
_atom_site_fract_y
_atom_site_fract_z
Sn1 0.0000 0.0000 0.0000
Hg1 0.5000 0.5000 0.5000
I1 0.0000 0.0000 0.5000
F1 0.0000 0.5000 0.0000

***

Record 10
# SnHgIF2, relaxed, DFT GGA-PBE
# Calculated total energy, Ry/atom: -0.23436
# V, Å³/f.u.: 121.9
# Energy relative to the elements, uncorrected, eV/atom: -1.269
# Density of states at the Fermi level, states/eV/atom: 0.29
data_SnHgIF2
_cell_length_a 4.4566
_cell_length_b 4.4566
_cell_length_c 6.1376
_cell_angle_alpha 90.00
_cell_angle_beta 90.00
_cell_angle_gamma 90.00
_space_group_name_H-M_alt 'P 4/m m m'
_space_group_IT_number 123
_space_group_name_Hall '-P 4 2'
loop_
_atom_site_label
_atom_site_fract_x
_atom_site_fract_y
_atom_site_fract_z
Sn1 0.0000 0.0000 0.0000
Hg1 0.0000 0.0000 0.5000
I1 0.5000 0.5000 0.5000
F1 0.0000 0.5000 0.0000

***

Record 11
# SnHg2IF, relaxed, DFT GGA-PBE
# Calculated total energy, Ry/atom: -0.16820
# V, Å³/f.u.: 146.3
# Energy relative to the elements, uncorrected, eV/atom: -0.683
# Density of states at the Fermi level, states/eV/atom: 0.53
data_SnHg2IF
_cell_length_a 5.7301
_cell_length_b 5.7301
_cell_length_c 4.4571
_cell_angle_alpha 90.00
_cell_angle_beta 90.00
_cell_angle_gamma 90.00
_space_group_name_H-M_alt 'P 4/m m m'
_space_group_IT_number 123
_space_group_name_Hall '-P 4 2'
loop_
_atom_site_label
_atom_site_fract_x
_atom_site_fract_y
_atom_site_fract_z
Sn1 0.0000 0.0000 0.0000
Hg1 0.0000 0.5000 0.0000
I1 0.5000 0.5000 0.5000
F1 0.0000 0.0000 0.5000

***

Record 12
# TaHgI2F, relaxed, DFT GGA-PBE
# Calculated total energy, Ry/atom: -0.28987
# V, Å³/f.u.: 140.2
# Energy relative to the elements, uncorrected, eV/atom: -0.519
# Density of states at the Fermi level, states/eV/atom: 0.68
data_TaHgI2F
_cell_length_a 5.7787
_cell_length_b 5.7787
_cell_length_c 4.1987
_cell_angle_alpha 90.00
_cell_angle_beta 90.00
_cell_angle_gamma 90.00
_space_group_name_H-M_alt 'P 4/m m m'
_space_group_IT_number 123
_space_group_name_Hall '-P 4 2'
loop_
_atom_site_label
_atom_site_fract_x
_atom_site_fract_y
_atom_site_fract_z
Ta1 0.0000 0.0000 0.0000
Hg1 0.5000 0.5000 0.5000
I1 0.0000 0.5000 0.0000
F1 0.0000 0.0000 0.5000

***

Q: Number 5 is which compound?
A: HgSbI2F